1.
6
Lattice="-1.9560 1.9560 11.1172 1.9560 -1.9560 11.1172 1.9560 1.9560 -11.1172" Properties=species:S:1:pos:R:3 comment="ThIN (PBE-GGA, optimized geometry)" magmom_total_mub_per_cell=0.1 dos_ef_per_ev_cell=3.093 e_form_raw_mev_per_atom=-1036 total_energy_ev_per_atom=-6.8011 pbc="T T T"
Th 0.0000 0.0000 1.4612
Th 0.0000 0.0000 20.7732
I 0.0000 0.0000 7.6115
I 0.0000 0.0000 14.6230
N 1.9560 0.0000 0.0000
N 0.0000 1.9560 0.0000

2.
6
Lattice="4.1208 0.0000 0.0000 0.0000 4.1208 0.0000 0.0000 0.0000 10.2169" Properties=species:S:1:pos:R:3 comment="ThIN (PBE-GGA, optimized geometry)" magmom_total_mub_per_cell=0.0 dos_ef_per_ev_cell=0.000 e_form_raw_mev_per_atom=-1782 total_energy_ev_per_atom=-7.5467 pbc="T T T"
Th 1.0302 1.0302 1.1400
Th 3.0906 3.0906 9.0769
I 1.0302 1.0302 7.0673
I 3.0906 3.0906 3.1496
N 1.0302 3.0906 0.0000
N 3.0906 1.0302 0.0000